Here is a geometry-optimized KCuNi3 structure from the Alexandria database. Energies are from PBE.

a = 4.525 Å, b = 4.525 Å, c = 4.525 Å
α = 90.00°, β = 90.00°, γ = 90.00°
Fractional coordinates of all 5 atoms:
Ni  0.000  0.500  0.000
Ni  0.000  0.000  0.500
Ni  0.500  0.000  0.000
K  0.500  0.500  0.500
Cu  0.000  0.000  0.000

* energy of formation: 455.3 kJ/mol of formula units
* magnetization: 1.11 μB per formula unit
* polymorph energy (0 for the lowest one): 0 meV/atom
* N(E_F): 1.38 states/eV/atom
* crystal system: cubic

---

Here is a geometry-optimized Zr8AlSi2 structure from the Alexandria database. Energies are from PBE.

a = 4.329 Å, b = 4.329 Å, c = 12.392 Å
α = 90.00°, β = 90.00°, γ = 90.00°
Fractional coordinates of all 11 atoms:
Al  0.000  0.000  0.000
Si  0.000  0.000  0.326
Si  0.000  0.000  0.674
Zr  0.000  0.500  0.500
Zr  0.500  0.000  0.500
Zr  0.500  0.500  0.326
Zr  0.500  0.500  0.674
Zr  0.000  0.500  0.153
Zr  0.500  0.000  0.153
Zr  0.000  0.500  0.847
Zr  0.500  0.000  0.847

* magnetization: 0.00 μB per formula unit
* N(E_F): 1.06 states/eV/atom
* crystal system: tetragonal
* DFT total energy: -85.4 eV/cell

---

Here is a geometry-optimized TeMo2 structure from the Alexandria database. Energies are from PBE.

a = 3.701 Å, b = 3.701 Å, c = 4.545 Å
α = 90.00°, β = 90.00°, γ = 90.00°
Fractional coordinates of all 3 atoms:
Mo  0.000  0.500  0.500
Mo  0.500  0.000  0.500
Te  0.000  0.000  0.000

* magnetization: 0.00 μB per formula unit
* polymorph energy (0 for the lowest one): 687 meV/atom
* N(E_F): 1.32 states/eV/atom
* crystal system: tetragonal

---

Summary of V in Å³/cell
93; 232; 62
(order as listed above)